# 1
{"formula": "CaScP4", "functional": "PBEsol", "state": "optimized geometry", "space_group": "F-43m (216)", "delta_e_f_ev_per_atom": -0.235, "cell": [[5.231, 0.000, 0.000], [2.616, 4.531, 0.000], [2.616, 1.510, 4.271]], "species": ["P", "P", "P", "P", "Ca", "Sc"], "fractional_positions": [[0.378, 0.378, 0.378], [0.378, 0.378, 0.867], [0.378, 0.867, 0.378], [0.867, 0.378, 0.378], [0.000, 0.000, 0.000], [0.750, 0.750, 0.750]]}

***

# 2
{"formula": "CaP4Se", "functional": "PBEsol", "state": "optimized geometry", "raw_formation_energy_ev_per_atom": -0.20, "space_group": "F-43m (216)", "cell": [[5.519, 0.000, 0.000], [2.759, 4.779, 0.000], [2.759, 1.593, 4.506]], "species": ["Se", "Ca", "P", "P", "P", "P"], "fractional_positions": [[0.750, 0.750, 0.750], [0.000, 0.000, 0.000], [0.803, 0.399, 0.399], [0.399, 0.803, 0.399], [0.399, 0.399, 0.399], [0.399, 0.399, 0.803]]}

***

# 3
{"formula": "CaPSe3", "functional": "PBEsol", "state": "optimized geometry", "raw_formation_energy_ev_per_atom": -0.90, "space_group": "P2_1/c (14)", "cell": [[6.817, 0.000, -0.001], [0.000, 7.456, 0.000], [-0.373, 0.000, 9.463]], "species": ["Ca", "Ca", "Ca", "Ca", "Se", "Se", "Se", "Se", "Se", "Se", "Se", "Se", "Se", "Se", "Se", "Se", "P", "P", "P", "P"], "fractional_positions": [[0.537, 0.113, 0.253], [0.037, 0.387, 0.753], [0.463, 0.887, 0.747], [0.963, 0.613, 0.247], [0.165, 0.686, 0.561], [0.665, 0.814, 0.061], [0.879, 0.013, 0.771], [0.670, 0.792, 0.448], [0.621, 0.513, 0.729], [0.170, 0.708, 0.948], [0.379, 0.487, 0.271], [0.830, 0.292, 0.052], [0.121, 0.987, 0.229], [0.330, 0.208, 0.552], [0.835, 0.314, 0.439], [0.335, 0.186, 0.939], [0.565, 0.392, 0.935], [0.935, 0.892, 0.565], [0.435, 0.608, 0.065], [0.065, 0.108, 0.435]]}

***

# 4
{"formula": "Ca3Si2P4", "functional": "PBEsol", "state": "optimized geometry", "raw_formation_energy_ev_per_atom": -0.90, "space_group": "P2_1/c (14)", "cell": [[-3.828, 4.297, -3.759], [-0.450, -6.604, -2.343], [-13.278, -2.770, 10.356]], "species": ["P", "P", "P", "P", "P", "P", "P", "P", "P", "P", "P", "P", "P", "P", "P", "P", "Si", "Si", "Si", "Si", "Si", "Si", "Si", "Si", "Ca", "Ca", "Ca", "Ca", "Ca", "Ca", "Ca", "Ca", "Ca", "Ca", "Ca", "Ca"], "fractional_positions": [[0.779, 0.959, 0.314], [0.776, 0.498, 0.198], [0.247, 0.992, 0.440], [0.724, 0.502, 0.698], [0.241, 0.495, 0.568], [0.759, 0.505, 0.432], [0.224, 0.502, 0.802], [0.721, 0.041, 0.814], [0.741, 0.495, 0.932], [0.753, 0.008, 0.560], [0.279, 0.959, 0.186], [0.276, 0.498, 0.302], [0.221, 0.041, 0.686], [0.259, 0.505, 0.068], [0.747, 0.992, 0.060], [0.253, 0.008, 0.940], [0.971, 0.789, 0.372], [0.414, 0.316, 0.758], [0.586, 0.684, 0.242], [0.086, 0.684, 0.258], [0.529, 0.211, 0.872], [0.029, 0.211, 0.628], [0.914, 0.316, 0.742], [0.471, 0.789, 0.128], [0.512, 0.256, 0.062], [0.012, 0.256, 0.438], [0.988, 0.783, 0.816], [0.012, 0.217, 0.184], [0.004, 0.261, 0.941], [0.504, 0.261, 0.559], [0.496, 0.739, 0.441], [0.512, 0.217, 0.316], [0.988, 0.744, 0.562], [0.488, 0.744, 0.938], [0.488, 0.783, 0.684], [0.996, 0.739, 0.059]]}

***

Number 1: E_tot -33.3 eV/cell. Number 2: E_tot -30.3 eV/cell. Number 3: E_tot -95.9 eV/cell. Number 4: E_tot -196.7 eV/cell.